# 1
DFT (PBE) results for crystalline SrTlCu3Se4 at its relaxed geometry.

Calculated values
Uncorrected formation energy   -241 meV per atom
Symmetry   P-43m (215)

```
SrTlCu3Se4
1.0
-4.9276 -0.0673 3.9135
-1.4509 -5.8124 -1.9269
3.6352 -2.4111 4.5358
Cu Se Tl Sr
3 4 1 1
direct
0.0000 0.5000 0.0000 Cu
0.5000 0.0000 0.0000 Cu
0.0000 0.0000 0.5000 Cu
0.7632 0.7632 0.2368 Se
0.2368 0.7632 0.7632 Se
0.7632 0.2368 0.7632 Se
0.2368 0.2368 0.2368 Se
0.0000 0.0000 0.0000 Tl
0.5000 0.5000 0.5000 Sr
```

---

# 2
DFT (PBE) results for crystalline Sr3Tm3CuSe8 at its relaxed geometry.

Calculated values
Uncorrected formation energy   -1648 meV per atom
Symmetry   R-3m (166)

```
Sr3Tm3CuSe8
1.0
8.2625 0.0000 0.0000
-4.1313 7.1549 -0.0255
0.0000 -4.7454 7.0559
Se Sr Tm Cu
8 3 3 1
direct
0.7613 0.5225 0.2827 Se
0.7422 0.4845 0.7267 Se
0.2609 0.0216 0.2820 Se
0.7391 0.9784 0.7180 Se
0.7606 0.0216 0.2820 Se
0.2387 0.4775 0.7173 Se
0.2578 0.5155 0.2733 Se
0.2394 0.9784 0.7180 Se
0.0000 0.5000 0.0000 Sr
0.5000 0.5000 0.0000 Sr
0.0000 0.0000 0.0000 Sr
0.5000 0.0000 0.5000 Tm
0.0000 0.5000 0.5000 Tm
0.5000 0.5000 0.5000 Tm
0.0000 0.0000 0.5000 Cu
```

---

# 3
DFT (PBE) results for crystalline SrTm2CuSe4 at its relaxed geometry.

Calculated values
Uncorrected formation energy   -1546 meV per atom
Symmetry   Cmcm (63)

```
SrTm2CuSe4
1.0
4.0680 0.0000 0.0000
-2.0340 6.7877 0.0000
0.0000 0.0000 14.0617
Se Tm Sr Cu
8 4 2 2
direct
0.2701 0.5402 0.1164 Se
0.0000 0.0000 0.5000 Se
0.4485 0.8970 0.7500 Se
0.0000 0.0000 0.0000 Se
0.7299 0.4598 0.6164 Se
0.5515 0.1030 0.2500 Se
0.2701 0.5402 0.3836 Se
0.7299 0.4598 0.8836 Se
0.6275 0.2551 0.0608 Tm
0.3725 0.7449 0.9392 Tm
0.3725 0.7449 0.5608 Tm
0.6275 0.2551 0.4392 Tm
0.8779 0.7559 0.2500 Sr
0.1221 0.2441 0.7500 Sr
0.1494 0.2988 0.2500 Cu
0.8506 0.7012 0.7500 Cu
```

---

# 4
DFT (PBE) results for crystalline SrTmCuSe3 at its relaxed geometry.

Calculated values
Uncorrected formation energy   -1540 meV per atom
Symmetry   P2_1/m (11)

```
SrTmCuSe3
1.0
-1.2440 3.8698 0.0649
-4.7407 -1.4082 -6.9070
-5.5169 -1.8898 6.9407
Se Sr Cu Tm
6 2 2 2
direct
0.2500 0.7732 0.4826 Se
0.2500 0.1023 0.8638 Se
0.7500 0.2268 0.5174 Se
0.7500 0.8977 0.1362 Se
0.7500 0.4400 0.1621 Se
0.2500 0.5600 0.8379 Se
0.2500 0.1912 0.2433 Sr
0.7500 0.8088 0.7567 Sr
0.7500 0.9203 0.4164 Cu
0.2500 0.0797 0.5836 Cu
0.7500 0.3248 0.8348 Tm
0.2500 0.6752 0.1652 Tm
```

---

# 5
DFT (PBE) results for crystalline SrU3Cu4Se12 at its relaxed geometry.

Calculated values
Uncorrected formation energy   -678 meV per atom
Symmetry   R32 (155)

```
SrU3Cu4Se12
1.0
-6.9138 1.7915 5.2555
2.2112 -8.4541 1.5065
6.7552 4.9496 2.9152
Se Cu U Sr
12 4 3 1
direct
0.0263 0.6590 0.7619 Se
0.5000 0.3391 0.6609 Se
0.3391 0.6609 0.5000 Se
0.0953 0.9047 0.5000 Se
0.3410 0.9737 0.2381 Se
0.6609 0.5000 0.3391 Se
0.9737 0.2381 0.3410 Se
0.7619 0.0263 0.6590 Se
0.9047 0.5000 0.0953 Se
0.5000 0.0953 0.9047 Se
0.6590 0.7619 0.0263 Se
0.2381 0.3410 0.9737 Se
0.5000 0.9253 0.0747 Cu
0.9253 0.0747 0.5000 Cu
0.5000 0.5000 0.5000 Cu
0.0747 0.5000 0.9253 Cu
0.0000 0.5617 0.4383 U
0.4383 0.0000 0.5617 U
0.5617 0.4383 0.0000 U
0.0000 0.0000 0.0000 Sr
```

---

# 6
DFT (PBE) results for crystalline Sr2UCu2Se6 at its relaxed geometry.

Calculated values
Uncorrected formation energy   -976 meV per atom
Symmetry   P-3 (147)

```
Sr2UCu2Se6
1.0
7.2670 0.0000 0.0000
-3.6335 6.2934 0.0000
0.0000 0.0000 6.7834
Se Sr Cu U
6 2 2 1
direct
0.3246 0.2624 0.2452 Se
0.9377 0.6754 0.2452 Se
0.6754 0.7376 0.7548 Se
0.2624 0.9377 0.7548 Se
0.0623 0.3246 0.7548 Se
0.7376 0.0623 0.2452 Se
0.6667 0.3333 0.6075 Sr
0.3333 0.6667 0.3925 Sr
0.3333 0.6667 0.8514 Cu
0.6667 0.3333 0.1486 Cu
0.0000 0.0000 0.0000 U
```